Computed, not measured: crystalline Tb2Er3Se6 at its relaxed geometry at the PBE level of DFT.

The space group is C2/m (No. 12) and the conventional cell measures 7.0220, 12.1014 and 7.0043 Å, with angles of 90.00, 109.47 and 90.00 degrees. The asymmetric unit holds Tb at (0.0000, 0.1649, 0.0000), Er at (0.0000, 0.0000, 0.5000), Er at (0.0000, 0.3343, 0.5000), Se at (0.2432, 0.5000, 0.7513) and Se at (0.2476, 0.3360, 0.2516).

Its final energy is -128.42 eV/cell.